Entry 1:
Here is crystalline ReAg2 at its relaxed geometry from the Alexandria database. Energies are from GGA-PBE.

Cell lengths 7.3769, 7.3769, 7.3769 Å; angles 90.00, 90.00, 90.00 degrees
With the nearest neighbours (Å) after each atom.
Space group Fd-3m (No. 227, origin choice 2)
Asymmetric unit:
Re (0.1250, 0.1250, 0.1250) [8 per cell]  12 Ag 3.06, 4 Re 3.19
Ag (0.0000, 0.0000, 0.5000) [16 per cell]  6 Ag 2.61

Output
* formation energy: 1084 meV/atom
* uncorrected energy: -4.9658 eV/atom
* DOS at the Fermi energy: 3.93 states/eV/cell

Entry 2:
Here is crystalline Tb6Si2HgSe3 at its relaxed geometry from the Alexandria database. Energies are from GGA-PBE.

Cell lengths 18.3433, 4.1283, 8.4304 Å; angles 90.00, 106.87, 90.00 degrees
With the nearest neighbours (Å) after each atom.
Space group C2/m (No. 12)
Asymmetric unit:
Tb (0.9998, 0.0000, 0.2353) [4 per cell]  3 Se 2.86-2.93, 1 Si 2.88, 2 Hg 3.04
Tb (0.1714, 0.5000, 0.0701) [4 per cell]  3 Si 2.90-2.91, 3 Se 3.02-3.03
Tb (0.1715, 0.5000, 0.5914) [4 per cell]  3 Se 2.85-3.01, 2 Si 2.88, 1 Hg 3.01
Si (0.1631, 0.0000, 0.8244) [4 per cell]  6 Tb 2.88-2.91
Hg (0.0000, 0.5000, 0.5000) [2 per cell]  6 Tb 3.01-3.04
Se (0.0000, 0.5000, 0.0000) [2 per cell]  6 Tb 2.86-3.03
Se (0.1667, 0.0000, 0.3287) [4 per cell]  6 Tb 2.85-3.02

Output
* formation energy (no corrections): -1.227 eV per atom
* uncorrected energy: -5.3420 eV/atom
* DOS at the Fermi energy: 11.18 states/eV/cell

Entry 3:
Here is crystalline Nd2ErAu3 at its relaxed geometry from the Alexandria database. Energies are from GGA-PBE.

Cell lengths 5.1720, 15.7246, 3.6445 Å; angles 90.00, 90.00, 90.00 degrees
With the nearest neighbours (Å) after each atom.
Space group Pmmn (No. 59, origin choice 2)
Asymmetric unit:
Nd (0.2500, 0.0822, 0.0028) [4 per cell]  8 Au 3.17-3.35
Er (0.2500, 0.7500, 0.9977) [2 per cell]  8 Au 3.04-3.17
Au (0.2500, 0.2500, 0.5038) [2 per cell]  4 Er 3.16-3.17, 4 Nd 3.21
Au (0.2500, 0.5955, 0.4981) [4 per cell]  2 Er 3.04, 6 Nd 3.17-3.35

Output
* formation energy: -796 meV/atom
* uncorrected energy: -4.7846 eV/atom
* DOS at the Fermi energy: 8.31 states/eV/cell